1.
# Rb2BH (PBEsol, relaxed)
data_Rb2BH
_symmetry_space_group_name_H-M 'F m -3 m'
_symmetry_Int_Tables_number 225
_symmetry_space_group_name_Hall '-F 4 2 3'
_cell_length_a 7.532
_cell_length_b 7.532
_cell_length_c 7.532
_cell_angle_alpha 90.00
_cell_angle_beta 90.00
_cell_angle_gamma 90.00
loop_
_atom_site_label
_atom_site_type_symbol
_atom_site_fract_x
_atom_site_fract_y
_atom_site_fract_z
Rb1 Rb 0.250 0.250 0.250
B1 B 0.000 0.000 0.000
H1 H 0.000 0.000 0.500
# Calculated total energy = -1.99 eV per atom


2.
# CuMo2Pt (PBEsol, relaxed)
data_CuMo2Pt
_symmetry_space_group_name_H-M 'P 4 m m'
_symmetry_Int_Tables_number 99
_cell_length_a 3.204
_cell_length_b 3.204
_cell_length_c 5.609
_cell_angle_alpha 90.00
_cell_angle_beta 90.00
_cell_angle_gamma 90.00
loop_
_symmetry_equiv_pos_as_xyz
'x,y,z'
'-y,x,z'
'-x,-y,z'
'y,-x,z'
'-x,y,z'
'y,x,z'
'x,-y,z'
'-y,-x,z'
loop_
_atom_site_label
_atom_site_type_symbol
_atom_site_fract_x
_atom_site_fract_y
_atom_site_fract_z
Cu1 Cu 0.000 0.000 0.000
Mo1 Mo 0.000 0.000 0.492
Mo2 Mo 0.500 0.500 0.250
Pt1 Pt 0.500 0.500 0.774
# Energy of formation = 0.8 kcal/mol of atoms
# Calculated total energy = -8.68 eV per atom